Entry 1:
This record from OQMD via LeMat-Bulk describes a relaxed structure of Ba2HfZn. The functional is PBE-GGA.

Cell and atoms, written as POSCAR:
```
Ba2HfZn
1.0
0.0000 3.9827 3.9827
3.9827 0.0000 3.9827
3.9827 3.9827 0.0000
Ba Hf Zn
2 1 1
direct
0.0000 0.0000 0.0000
0.2500 0.2500 0.2500
0.5000 0.5000 0.5000
0.7500 0.7500 0.7500
```

## Properties
Crystal system: cubic
Total magnetic moment in μB per formula unit: 2.1
E_tot in eV per atom: -3.1163
Space-group type: F-43m

Entry 2:
This record from OQMD via LeMat-Bulk describes a relaxed structure of Pa3Cu4Si4. The functional is PBE-GGA.

Cell and atoms, written as POSCAR:
```
Pa3Cu4Si4
1.0
-3.3010 -0.5047 2.1743
-2.1642 -0.2725 -3.3487
-1.0316 -12.1289 -0.7309
Pa Cu Si
3 4 4
direct
0.0000 0.0000 0.0000
0.8540 0.3540 0.2923
0.1460 0.6460 0.7077
0.7505 0.7501 0.4995
0.2495 0.2499 0.5005
0.4031 0.9030 0.1943
0.5969 0.0970 0.8057
0.4507 0.4508 0.0988
0.3064 0.8064 0.3876
0.6936 0.1936 0.6124
0.5493 0.5492 0.9012
```

## Properties
Crystal system: orthorhombic
Total magnetic moment in μB per formula unit: 0.0
E_tot in eV per atom: -6.3613
Space-group type: Immm

Entry 3:
This record from OQMD via LeMat-Bulk describes a relaxed structure of SrLaTe2AuS. The functional is PBE-GGA.

Cell and atoms, written as POSCAR:
```
SrLaTe2AuS
1.0
2.2025 -7.3548 0.0000
2.2025 7.3548 0.0000
0.0000 0.0000 10.9101
Au S Te Sr La
2 2 4 2 2
direct
0.0225 0.9775 0.7500
0.9775 0.0225 0.2500
0.5770 0.4230 0.2500
0.4230 0.5770 0.7500
0.8466 0.1534 0.0654
0.8466 0.1534 0.4346
0.1534 0.8466 0.5654
0.1534 0.8466 0.9346
0.2226 0.7774 0.2500
0.7774 0.2226 0.7500
0.5000 0.5000 0.0000
0.5000 0.5000 0.5000
```

## Properties
Crystal system: orthorhombic
Total magnetic moment in μB per formula unit: 0.0
E_tot in eV per atom: -4.7497
Space-group type: Cmcm

Entry 4:
This record from OQMD via LeMat-Bulk describes a relaxed structure of TbSiSn. The functional is PBE-GGA.

Cell and atoms, written as POSCAR:
```
TbSiSn
1.0
0.0000 3.3949 3.3949
3.3949 0.0000 3.3949
3.3949 3.3949 0.0000
Si Tb Sn
1 1 1
direct
0.0000 0.0000 0.0000
0.7500 0.7500 0.7500
0.2500 0.2500 0.2500
```

## Properties
Crystal system: cubic
Total magnetic moment in μB per formula unit: 0.0
E_tot in eV per atom: -4.8181
Space-group type: F-43m

Entry 5:
This record from OQMD via LeMat-Bulk describes a relaxed structure of Lu2Hf4Pb3N3. The functional is PBE-GGA.

Cell and atoms, written as POSCAR:
```
Lu2Hf4Pb3N3
1.0
5.0436 -2.9135 0.0000
5.0436 2.9135 0.0000
-3.3653 0.0000 14.7701
Pb Hf Lu N
6 8 4 6
direct
0.4152 0.2386 0.2490
0.2386 0.4152 0.7490
0.9295 0.0705 0.7500
0.7614 0.5848 0.2510
0.5848 0.7614 0.7510
0.0705 0.9295 0.2500
0.8565 0.6935 0.5795
0.1968 0.0229 0.5795
0.9771 0.8032 0.9205
0.8032 0.9771 0.4205
0.6935 0.8565 0.0795
0.0229 0.1968 0.0795
0.1435 0.3065 0.4205
0.3065 0.1435 0.9205
0.6336 0.4703 0.9125
0.4703 0.6336 0.4125
0.5297 0.3664 0.5875
0.3664 0.5297 0.0875
0.1604 0.6695 0.5000
0.5000 0.0000 0.5000
0.8396 0.3305 0.5000
0.3305 0.8396 0.0000
0.0000 0.5000 0.0000
0.6695 0.1604 0.0000
```

## Properties
Crystal system: monoclinic
Total magnetic moment in μB per formula unit: 0.0
E_tot in eV per atom: -8.0356
Space-group type: C2/c

Entry 6:
This record from OQMD via LeMat-Bulk describes a relaxed structure of ZrCuB4. The functional is PBE-GGA.

Cell and atoms, written as POSCAR:
```
ZrCuB4
1.0
-0.3864 2.7192 -1.4916
-0.5439 -2.6918 -1.4920
-6.3580 0.1849 1.9841
Zr B Cu
1 4 1
direct
0.0000 0.0000 0.5000
0.6667 0.3333 0.2365
0.3333 0.6667 0.2365
0.6667 0.3333 0.7635
0.3333 0.6667 0.7635
0.0000 0.0000 0.0000
```

## Properties
Crystal system: hexagonal
Distance to the lowest polymorph of the same formula in meV per atom: 45
Total magnetic moment in μB per formula unit: 0.0
Space-group type: P6/mmm

Entry 7:
This record from OQMD via LeMat-Bulk describes a relaxed structure of YTmFe2Pb. The functional is PBE-GGA.

Cell and atoms, written as POSCAR:
```
YTmFe2Pb
1.0
3.7783 0.0000 0.0000
0.0000 1.9433 7.1159
0.0000 -1.9433 7.1159
Fe Pb Y Tm
2 1 1 1
direct
0.0000 0.7926 0.7926
0.0000 0.2034 0.2034
0.0000 0.0016 0.0016
0.5000 0.3633 0.3633
0.5000 0.6390 0.6390
```

## Properties
Crystal system: orthorhombic
Total magnetic moment in μB per formula unit: 3.1
E_tot in eV per atom: -6.4569
Space-group type: Amm2

Entry 8:
This record from OQMD via LeMat-Bulk describes a relaxed structure of Ho3In3CuAg2. The functional is PBE-GGA.

Cell and atoms, written as POSCAR:
```
Ho3In3CuAg2
1.0
3.8690 0.0000 0.0000
0.0000 6.7229 3.8824
0.0000 -6.7229 3.8824
Ag In Ho Cu
2 3 3 1
direct
0.5000 0.6665 0.3334
0.5000 0.3334 0.6665
0.5000 0.2513 0.0000
0.5000 0.0000 0.2513
0.5000 0.7488 0.7488
0.0000 0.0000 0.5980
0.0000 0.5980 0.0000
0.0000 0.4019 0.4019
0.0000 0.0000 0.0000
```

## Properties
Crystal system: hexagonal
Total magnetic moment in μB per formula unit: 0.0
E_tot in eV per atom: -3.9101
Space-group type: P-62m

Entry 9:
This record from OQMD via LeMat-Bulk describes a relaxed structure of ZrCuHgBi. The functional is PBE-GGA.

Cell and atoms, written as POSCAR:
```
ZrCuHgBi
1.0
0.0000 3.5431 3.5431
3.5431 0.0000 3.5431
3.5431 3.5431 0.0000
Zr Bi Hg Cu
1 1 1 1
direct
0.2500 0.2500 0.2500
0.0000 0.0000 0.0000
0.7500 0.7500 0.7500
0.5000 0.5000 0.5000
```

## Properties
Crystal system: cubic
Distance to the lowest polymorph of the same formula in meV per atom: 99
Total magnetic moment in μB per formula unit: 0.0
Space-group type: F-43m

Entry 10:
This record from OQMD via LeMat-Bulk describes a relaxed structure of SmGaTe3Pb. The functional is PBE-GGA.

Cell and atoms, written as POSCAR:
```
SmGaTe3Pb
1.0
4.0348 4.2625 -5.2554
-7.0665 -2.5066 2.4186
-0.9319 8.9097 6.5110
Pb Te Sm Ga
2 6 2 2
direct
0.7373 0.2627 0.7500
0.2627 0.7373 0.2500
0.1462 0.8538 0.5461
0.1462 0.8538 0.9539
0.8538 0.1462 0.0461
0.8538 0.1462 0.4539
0.3951 0.6049 0.7500
0.6049 0.3951 0.2500
0.5000 0.5000 0.5000
0.5000 0.5000 0.0000
0.0235 0.9765 0.7500
0.9765 0.0235 0.2500
```

## Properties
Crystal system: orthorhombic
Total magnetic moment in μB per formula unit: 0.0
E_tot in eV per atom: -4.0919
Space-group type: Cmcm

Entry 11:
This record from OQMD via LeMat-Bulk describes a relaxed structure of LiAg3Te4Ir. The functional is PBE-GGA.

Cell and atoms, written as POSCAR:
```
LiAg3Te4Ir
1.0
-0.4580 -2.4219 5.9714
6.1293 -2.0111 -0.3455
1.9885 5.6412 2.4405
Te Ag Li Ir
4 3 1 1
direct
0.2387 0.2387 0.7613
0.7613 0.2387 0.2387
0.7613 0.7613 0.7613
0.2387 0.7613 0.2387
0.0000 0.0000 0.5000
0.0000 0.5000 0.0000
0.5000 0.0000 0.0000
0.5000 0.5000 0.5000
0.0000 0.0000 0.0000
```

## Properties
Crystal system: cubic
Total magnetic moment in μB per formula unit: 0.0
E_tot in eV per atom: -3.5202
Space-group type: P-43m

Entry 12:
This record from OQMD via LeMat-Bulk describes a relaxed structure of PrDySbBr2. The functional is PBE-GGA.

Cell and atoms, written as POSCAR:
```
PrDySbBr2
1.0
4.3065 0.0000 0.0000
-2.1532 3.7295 0.0000
0.0000 0.0000 10.9848
Sb Br Pr Dy
1 2 1 1
direct
0.6667 0.3333 0.9904
0.0000 0.0000 0.3253
0.3333 0.6667 0.6855
0.3333 0.6667 0.1610
0.0000 0.0000 0.8378
```

## Properties
Crystal system: trigonal
Total magnetic moment in μB per formula unit: 0.0
E_tot in eV per atom: -4.8650
Space-group type: P3m1

Entry 13:
This record from OQMD via LeMat-Bulk describes a relaxed structure of Cd2AgAu. The functional is PBE-GGA.

Cell and atoms, written as POSCAR:
```
Cd2AgAu
1.0
-1.4133 3.4521 2.2989
-2.7714 -2.5929 2.1898
2.8231 -0.6841 2.7629
Cd Au Ag
2 1 1
direct
0.0000 0.5000 0.5000
0.5000 0.0000 0.5000
0.0000 0.0000 0.0000
0.5000 0.5000 0.0000
```

## Properties
Formation enthalpy at 0 K in eV/atom: -0.138
Crystal system: tetragonal
Distance to the lowest polymorph of the same formula in meV per atom: 11
Space-group type: P4/mmm

Entry 14:
This record from OQMD via LeMat-Bulk describes a relaxed structure of PtPbSO. The functional is PBE-GGA.

Cell and atoms, written as POSCAR:
```
PtPbSO
1.0
6.2755 0.0000 0.0000
0.0000 6.4638 0.0000
0.0000 0.0000 17.0921
S Pb Pt O
8 8 8 8
direct
0.0004 0.7485 0.9934
0.9996 0.7515 0.4934
0.5004 0.2515 0.5066
0.4996 0.2485 0.0066
0.5004 0.7515 0.9934
0.0004 0.2485 0.5066
0.9996 0.2515 0.0066
0.4996 0.7485 0.4934
0.3448 0.5703 0.1840
0.3448 0.0703 0.3160
0.6552 0.9297 0.6840
0.8448 0.9297 0.1840
0.1552 0.0703 0.8160
0.1552 0.5703 0.6840
0.8448 0.4297 0.3160
0.6552 0.4297 0.8160
0.2498 0.9918 0.5394
0.7498 0.5082 0.5394
0.2502 0.9918 0.0394
0.7502 0.0082 0.4606
0.2498 0.4918 0.9606
0.7502 0.5082 0.0394
0.2502 0.4918 0.4606
0.7498 0.0082 0.9606
0.1755 0.8508 0.2346
0.3245 0.8508 0.7346
0.6755 0.6492 0.2346
0.6755 0.1492 0.2654
0.8245 0.1492 0.7654
0.1755 0.3508 0.2654
0.3245 0.3508 0.7654
0.8245 0.6492 0.7346
```

## Properties
Crystal system: orthorhombic
Distance to the lowest polymorph of the same formula in meV per atom: 35
Total magnetic moment in μB per formula unit: 0.0
Space-group type: Pbca

Entry 15:
This record from OQMD via LeMat-Bulk describes a relaxed structure of Ho12Ni6Sn. The functional is PBE-GGA.

Cell and atoms, written as POSCAR:
```
Ho12Ni6Sn
1.0
-4.8190 4.8190 4.8190
4.8190 -4.8190 4.8190
4.8190 4.8190 -4.8190
Ho Ni Sn
12 6 1
direct
0.8841 0.1877 0.6965
0.1159 0.8123 0.3035
0.3035 0.4912 0.1877
0.1877 0.3035 0.4912
0.8123 0.3035 0.1159
0.6965 0.8841 0.1877
0.3035 0.1159 0.8123
0.5088 0.8123 0.6965
0.4912 0.1877 0.3035
0.6965 0.5088 0.8123
0.1877 0.6965 0.8841
0.8123 0.6965 0.5088
0.3763 0.5000 0.8763
0.5000 0.1237 0.6237
0.6237 0.5000 0.1237
0.5000 0.8763 0.3763
0.8763 0.3763 0.5000
0.1237 0.6237 0.5000
0.0000 0.0000 0.0000
```

## Properties
Crystal system: cubic
Total magnetic moment in μB per formula unit: 0.0
E_tot in eV per atom: -5.2775
Space-group type: Im-3

Entry 16:
This record from OQMD via LeMat-Bulk describes a relaxed structure of HoCo2B. The functional is PBE-GGA.

Cell and atoms, written as POSCAR:
```
HoCo2B
1.0
3.3910 0.0000 0.0000
0.0000 8.3461 0.0000
0.0000 0.0000 4.0555
Co Ho B
4 2 2
direct
0.0000 0.9398 0.8779
0.0000 0.0602 0.3778
0.5000 0.4166 0.3734
0.5000 0.5834 0.8734
0.0000 0.3013 0.8748
0.0000 0.6987 0.3748
0.5000 0.8172 0.8740
0.5000 0.1828 0.3740
```

## Properties
Crystal system: orthorhombic
Total magnetic moment in μB per formula unit: 0.8
E_tot in eV per atom: -6.3280
Space-group type: Pmc2_1

Entry 17:
This record from OQMD via LeMat-Bulk describes a relaxed structure of SrCd2Se3. The functional is PBE-GGA.

Cell and atoms, written as POSCAR:
```
SrCd2Se3
1.0
0.6148 7.2062 -0.9708
-2.2865 -5.3940 4.3505
9.6251 -0.1677 4.8508
Sr Se Cd
2 6 4
direct
0.2388 0.7612 0.2500
0.7612 0.2388 0.7500
0.0957 0.9043 0.7500
0.6379 0.3621 0.4423
0.9043 0.0957 0.2500
0.6379 0.3621 0.0577
0.3621 0.6379 0.9423
0.3621 0.6379 0.5577
0.5215 0.4785 0.2500
0.0000 0.0000 0.5000
0.4785 0.5215 0.7500
0.0000 0.0000 0.0000
```

## Properties
Crystal system: orthorhombic
E_tot in eV per atom: -3.2728
Space-group type: Cmcm

Entry 18:
This record from OQMD via LeMat-Bulk describes a relaxed structure of SrNb2Ag. The functional is PBE-GGA.

Cell and atoms, written as POSCAR:
```
SrNb2Ag
1.0
0.0000 3.5018 3.5018
3.5018 0.0000 3.5018
3.5018 3.5018 0.0000
Nb Ag Sr
2 1 1
direct
0.0000 0.0000 0.0000
0.2500 0.2500 0.2500
0.5000 0.5000 0.5000
0.7500 0.7500 0.7500
```

## Properties
Crystal system: cubic
Total magnetic moment in μB per formula unit: 0.4
E_tot in eV per atom: -5.4364
Space-group type: F-43m

Entry 19:
This record from OQMD via LeMat-Bulk describes a relaxed structure of Y5Ho3Os. The functional is PBE-GGA.

Cell and atoms, written as POSCAR:
```
Y5Ho3Os
1.0
9.0643 0.0000 0.0000
-4.5322 7.8499 0.0000
0.0000 0.0000 3.6923
Y Ho Os
5 3 1
direct
0.0000 0.2420 0.0000
0.2420 0.0000 0.0000
0.3333 0.6667 0.0000
0.6667 0.3333 0.0000
0.7580 0.7580 0.0000
0.6233 0.0000 0.5000
0.3767 0.3767 0.5000
0.0000 0.6233 0.5000
0.0000 0.0000 0.5000
```

## Properties
Formation enthalpy at 0 K in eV/atom: -0.041
Crystal system: hexagonal
Total magnetic moment in μB per formula unit: 0.1
Space-group type: P-62m

Entry 20:
This record from OQMD via LeMat-Bulk describes a relaxed structure of PmSiAu. The functional is PBE-GGA.

Cell and atoms, written as POSCAR:
```
PmSiAu
1.0
3.0353 -3.4580 0.7841
0.7927 -1.4656 4.3600
-1.5373 -4.1888 1.3698
Si Pm Au
1 1 1
direct
0.7500 0.7500 0.7500
0.2500 0.2500 0.2500
0.0000 0.0000 0.0000
```

## Properties
Crystal system: cubic
Distance to the lowest polymorph of the same formula in meV per atom: 203
Total magnetic moment in μB per formula unit: 0.0
Space-group type: F-43m